Entry from Alexandria: a relaxed structure of Li2MoO4 (PBE+U).

Summary:
The space-group type is No. 148. Its crystal system is trigonal. As for the total energy: -6.3444 eV/atom. For the magnetic moment, the calculation gives 0.0003 μB/atom.

Lattice parameters (Å, degrees): 9.0386 9.0386 9.0386 107.89 107.89 107.89
Atoms (fractional coordinates):
Li  0.1056  0.8723  0.2765
Li  0.1277  0.7235  0.8944
Li  0.2031  0.6072  0.4329
Li  0.2765  0.1056  0.8723
Li  0.3928  0.5671  0.7969
Li  0.4329  0.2031  0.6072
Li  0.5671  0.7969  0.3928
Li  0.6072  0.4329  0.2031
Li  0.7235  0.8944  0.1277
Li  0.7969  0.3928  0.5671
Li  0.8723  0.2765  0.1056
Li  0.8944  0.1277  0.7235
Mo  0.0549  0.2328  0.4635
Mo  0.2328  0.4635  0.0549
Mo  0.4635  0.0549  0.2328
Mo  0.5365  0.9451  0.7672
Mo  0.7672  0.5365  0.9451
Mo  0.9451  0.7672  0.5365
O  0.0104  0.3098  0.9712
O  0.0288  0.9896  0.6902
O  0.0401  0.3615  0.3477
O  0.0744  0.7501  0.4211
O  0.2499  0.5789  0.9256
O  0.2778  0.3179  0.6152
O  0.3098  0.9712  0.0104
O  0.3179  0.6152  0.2778
O  0.3477  0.0401  0.3615
O  0.3615  0.3477  0.0401
O  0.3848  0.7222  0.6821
O  0.4211  0.0744  0.7501
O  0.5789  0.9256  0.2499
O  0.6152  0.2778  0.3179
O  0.6385  0.6523  0.9599
O  0.6523  0.9599  0.6385
O  0.6821  0.3848  0.7222
O  0.6902  0.0288  0.9896
O  0.7222  0.6821  0.3848
O  0.7501  0.4211  0.0744
O  0.9256  0.2499  0.5789
O  0.9599  0.6385  0.6523
O  0.9712  0.0104  0.3098
O  0.9896  0.6902  0.0288